An optimized crystal structure of NpGePtO6, computed with PBE-GGA.

Cell lengths 5.3059, 5.3059, 8.9789 Å; angles 90.00, 90.00, 120.00 degrees
Last column: magnetic moment on the atom in μB.
Positions (direct):
Ge  0.6667  0.3333  0.7500  0.04
Ge  0.3333  0.6667  0.2500  0.04
O  0.0253  0.6667  0.3694  0.00
O  0.6667  0.0253  0.8694  0.00
O  0.0253  0.3586  0.1306  0.00
O  0.3333  0.9747  0.1306  0.00
O  0.3333  0.3586  0.3694  0.00
O  0.6414  0.6667  0.1306  0.00
O  0.6414  0.9747  0.3694  0.00
O  0.9747  0.6414  0.8694  0.00
O  0.3586  0.3333  0.8694  0.00
O  0.3586  0.0253  0.6306  0.00
O  0.6667  0.6414  0.6306  0.00
O  0.9747  0.3333  0.6306  0.00
Np  0.3333  0.6667  0.7500  2.05
Np  0.6667  0.3333  0.2500  2.05
Pt  0.0000  0.0000  0.0000  0.77
Pt  0.0000  0.0000  0.5000  0.77

Magnetic moment in μB per formula unit: 2.9
Formation energy (no corrections) in eV/atom: -1.524
SG: P-31c, No. 163

---

An optimized crystal structure of RbNpGe2O8, computed with PBE-GGA.

Cell lengths 5.6401, 5.6401, 9.8102 Å; angles 73.29, 73.29, 60.00 degrees
Last column: magnetic moment on the atom in μB.
Positions (direct):
Ge  0.2385  0.2385  0.2846  0.00
Ge  0.7615  0.7615  0.7154  0.00
O  0.8782  0.3747  0.3724  0.00
O  0.3747  0.8782  0.3724  0.00
O  0.3747  0.3747  0.3724  0.00
O  0.7011  0.7011  0.8967  0.06
O  0.2989  0.2989  0.1033  0.06
O  0.6253  0.1218  0.6276  0.00
O  0.1218  0.6253  0.6276  0.00
O  0.6253  0.6253  0.6276  0.00
Np  0.5000  0.5000  0.5000  0.14
Rb  0.0000  0.0000  0.0000  0.00

Magnetic moment in μB per formula unit: 0.3
Formation energy (no corrections) in eV/atom: -1.838
SG: R-3m, No. 166

---

An optimized crystal structure of RbNp2GeO8, computed with PBE-GGA.

Cell lengths 4.7432, 4.7429, 8.6072 Å; angles 86.81, 86.69, 88.15 degrees
Last column: magnetic moment on the atom in μB.
Positions (direct):
Np  0.5304  0.5311  0.1934  1.72
Np  0.4696  0.4689  0.8066  1.72
O  0.8322  0.2160  0.8348  -0.06
O  0.6273  0.6251  0.6202  -0.08
O  0.7023  0.7018  0.9924  -0.05
O  0.1678  0.7840  0.1652  -0.06
O  0.2977  0.2982  0.0076  -0.05
O  0.3727  0.3749  0.3798  -0.08
O  0.7830  0.1679  0.1653  -0.06
O  0.2170  0.8321  0.8347  -0.06
Ge  0.0000  0.0000  0.0000  0.01
Rb  0.0000  0.0000  0.5000  0.00

Magnetic moment in μB per formula unit: 3.0
Formation energy (no corrections) in eV/atom: -2.220
SG: P-1, No. 2

---

An optimized crystal structure of Rb3NpGe2O8, computed with PBE-GGA.

Cell lengths 5.9378, 5.9378, 8.4379 Å; angles 90.00, 90.00, 120.00 degrees
Last column: magnetic moment on the atom in μB.
Positions (direct):
Rb  0.3333  0.6667  0.7553  0.00
Rb  0.0000  0.0000  0.0000  0.00
Rb  0.6667  0.3333  0.2447  0.00
O  0.8301  0.6602  0.6478  -0.04
O  0.3398  0.1699  0.6478  -0.04
O  0.6602  0.8301  0.3522  -0.04
O  0.8301  0.1699  0.6478  -0.04
O  0.6667  0.3333  0.9281  -0.02
O  0.1699  0.3398  0.3522  -0.04
O  0.1699  0.8301  0.3522  -0.04
O  0.3333  0.6667  0.0719  -0.02
Ge  0.6667  0.3333  0.7259  0.00
Ge  0.3333  0.6667  0.2741  0.00
Np  0.0000  0.0000  0.5000  2.23

Magnetic moment in μB per formula unit: 2.0
Formation energy (no corrections) in eV/atom: -2.027
SG: P-3m1, No. 164

---

An optimized crystal structure of NpGeRuO6, computed with PBE-GGA.

Cell lengths 5.2558, 5.2558, 8.7148 Å; angles 90.00, 90.00, 120.00 degrees
Last column: magnetic moment on the atom in μB.
Positions (direct):
Np  0.6667  0.3333  0.2500  1.94
Np  0.3333  0.6667  0.7500  1.94
O  0.9729  0.6506  0.8716  -0.06
O  0.0271  0.6777  0.3716  -0.06
O  0.6506  0.9729  0.3716  -0.06
O  0.6777  0.0271  0.8716  -0.06
O  0.0271  0.3494  0.1284  -0.06
O  0.3494  0.3223  0.8716  -0.06
O  0.3223  0.9729  0.1284  -0.06
O  0.9729  0.3223  0.6284  -0.06
O  0.3223  0.3494  0.3716  -0.06
O  0.3494  0.0271  0.6284  -0.06
O  0.6777  0.6506  0.6284  -0.06
O  0.6506  0.6777  0.1284  -0.06
Ru  0.0000  0.0000  0.5000  -0.56
Ru  0.0000  0.0000  0.0000  -0.56
Ge  0.6667  0.3333  0.7500  0.01
Ge  0.3333  0.6667  0.2500  0.01

Magnetic moment in μB per formula unit: 1.0
Formation energy (no corrections) in eV/atom: -1.689
SG: P-31c, No. 163

---

An optimized crystal structure of SrNpGeO5, computed with PBE-GGA.

Cell lengths 6.0560, 6.0560, 7.7967 Å; angles 102.79, 102.79, 107.20 degrees
Last column: magnetic moment on the atom in μB.
Positions (direct):
O  0.2631  0.3915  0.5901  -0.02
O  0.9156  0.0844  0.7500  -0.09
O  0.6752  0.1056  0.3753  -0.02
O  0.0844  0.9156  0.2500  -0.09
O  0.1056  0.6752  0.8753  -0.02
O  0.8944  0.3248  0.1247  -0.02
O  0.3915  0.2631  0.0901  -0.02
O  0.6085  0.7369  0.9099  -0.02
O  0.7369  0.6085  0.4099  -0.02
O  0.3248  0.8944  0.6247  -0.02
Np  0.0000  0.0000  0.5000  3.09
Np  0.0000  0.0000  0.0000  3.09
Ge  0.6793  0.3207  0.2500  0.01
Ge  0.3207  0.6793  0.7500  0.01
Sr  0.3358  0.6642  0.2500  0.00
Sr  0.6642  0.3358  0.7500  0.00

Magnetic moment in μB per formula unit: 3.0
Formation energy (no corrections) in eV/atom: -2.561
SG: C2/c, No. 15

---

An optimized crystal structure of NpGeTe2O, computed with PBE-GGA.

Cell lengths 4.0582, 4.0582, 14.3792 Å; angles 90.00, 90.00, 90.00 degrees
Last column: magnetic moment on the atom in μB.
Positions (direct):
Te  0.5000  0.0000  0.3064  -0.16
Te  0.0000  0.5000  0.6936  -0.16
Te  0.0000  0.5000  0.1105  -0.02
Te  0.5000  0.0000  0.8895  -0.02
Ge  0.5000  0.0000  0.0893  -0.01
Ge  0.0000  0.5000  0.9107  -0.01
Np  0.0000  0.5000  0.4202  3.50
Np  0.5000  0.0000  0.5798  3.50
O  0.0000  0.0000  0.5000  -0.12
O  0.5000  0.5000  0.5000  -0.12

Magnetic moment in μB per formula unit: 3.2
Formation energy (no corrections) in eV/atom: -1.181
SG: P4/nmm, No. 129

---

An optimized crystal structure of NpTl2GeO6, computed with PBE-GGA.

Cell lengths 5.7275, 5.7287, 9.2925 Å; angles 90.00, 90.00, 90.00 degrees
Last column: magnetic moment on the atom in μB.
Positions (direct):
Tl  0.5000  0.7500  0.2497  0.00
Tl  0.0000  0.2500  0.2503  0.00
Tl  0.5000  0.7500  0.7503  0.00
Tl  0.0000  0.2500  0.7497  0.00
O  0.7279  0.0221  0.5000  -0.03
O  0.0000  0.7498  0.2943  -0.05
O  0.2721  0.0221  0.5000  -0.03
O  0.2279  0.9779  0.0000  -0.03
O  0.5000  0.2502  0.7943  -0.05
O  0.7279  0.4778  0.5000  -0.03
O  0.7721  0.9779  0.0000  -0.03
O  0.0000  0.7498  0.7057  -0.05
O  0.7721  0.5222  0.0000  -0.03
O  0.5000  0.2502  0.2057  -0.05
O  0.2721  0.4778  0.5000  -0.03
O  0.2279  0.5222  0.0000  -0.03
Ge  0.0000  0.7500  0.0000  -0.01
Ge  0.5000  0.2500  0.5000  -0.01
Np  0.0000  0.7499  0.5000  1.21
Np  0.5000  0.2501  0.0000  1.21

Magnetic moment in μB per formula unit: 1.0
Formation energy (no corrections) in eV/atom: -1.685
SG: I4/mmm, No. 139

---

An optimized crystal structure of NpTlGeO6, computed with PBE-GGA.

Cell lengths 5.3109, 5.3109, 6.2970 Å; angles 90.00, 90.00, 60.00 degrees
Positions (direct):
O  0.9847  0.3859  0.3267
O  0.6294  0.3859  0.6733
O  0.6294  0.9847  0.3267
O  0.3859  0.6294  0.3267
O  0.3858  0.9847  0.6733
O  0.9847  0.6294  0.6733
Ge  0.6666  0.6667  0.5000
Tl  0.0000  0.0000  0.0000
Np  0.3333  0.3333  0.5000

Magnetic moment in μB per formula unit: 0.0
Formation energy (no corrections) in eV/atom: -1.808
SG: P312, No. 149

---

An optimized crystal structure of TmNpGeO6, computed with PBE-GGA.

Cell lengths 5.4470, 5.4470, 8.7623 Å; angles 90.00, 90.00, 120.00 degrees
Last column: magnetic moment on the atom in μB.
Positions (direct):
Np  0.6667  0.3333  0.2500  2.16
Np  0.3333  0.6667  0.7500  2.16
O  0.9846  0.3009  0.1216  -0.04
O  0.6837  0.9846  0.8784  -0.04
O  0.6991  0.0154  0.3784  -0.04
O  0.0154  0.6991  0.8784  -0.04
O  0.6837  0.6991  0.6216  -0.04
O  0.6991  0.6837  0.1216  -0.04
O  0.3163  0.3009  0.3784  -0.04
O  0.3009  0.3163  0.8784  -0.04
O  0.0154  0.3163  0.6216  -0.04
O  0.3163  0.0154  0.1216  -0.04
O  0.3009  0.9846  0.6216  -0.04
O  0.9846  0.6837  0.3784  -0.04
Ge  0.0000  0.0000  0.0000  0.03
Ge  0.0000  0.0000  0.5000  0.03
Tm  0.6667  0.3333  0.7500  0.05
Tm  0.3333  0.6667  0.2500  0.05

Magnetic moment in μB per formula unit: 2.0
Formation energy (no corrections) in eV/atom: -2.435
SG: P-31c, No. 163

---

An optimized crystal structure of TmNpGe2O8, computed with PBE-GGA.

Cell lengths 5.8975, 5.8975, 5.8975 Å; angles 107.36, 107.36, 113.78 degrees
Last column: magnetic moment on the atom in μB.
Positions (direct):
O  0.9338  0.6225  0.6888  -0.04
O  0.3118  0.1274  0.8157  -0.02
O  0.3118  0.4961  0.1843  -0.02
O  0.5039  0.6882  0.8157  -0.02
O  0.9338  0.2450  0.3112  -0.04
O  0.8726  0.6882  0.1843  -0.02
O  0.7550  0.0662  0.6888  -0.04
O  0.3775  0.0662  0.3112  -0.04
Ge  0.7500  0.2500  0.5000  0.00
Ge  0.5000  0.5000  0.0000  0.00
Tm  0.2500  0.7500  0.5000  0.00
Np  0.0000  0.0000  0.0000  2.21

Magnetic moment in μB per formula unit: 2.0
Formation energy (no corrections) in eV/atom: -2.414
SG: I-4m2, No. 119

---

An optimized crystal structure of YNpGe2O8, computed with PBE-GGA.

Cell lengths 5.9354, 5.9354, 5.9354 Å; angles 107.25, 107.25, 114.02 degrees
Last column: magnetic moment on the atom in μB.
Positions (direct):
O  0.3794  0.0611  0.3183  -0.02
O  0.3194  0.5095  0.1901  -0.04
O  0.7429  0.0611  0.6817  -0.02
O  0.9389  0.6206  0.6817  -0.02
O  0.8706  0.6806  0.1901  -0.04
O  0.4905  0.6806  0.8099  -0.04
O  0.3194  0.1294  0.8099  -0.04
O  0.9389  0.2571  0.3183  -0.02
Ge  0.5000  0.5000  0.0000  0.00
Ge  0.7500  0.2500  0.5000  0.00
Np  0.2500  0.7500  0.5000  2.22
Y  0.0000  0.0000  0.0000  0.00

Magnetic moment in μB per formula unit: 2.0
Formation energy (no corrections) in eV/atom: -2.392
SG: I-4m2, No. 119

---

An optimized crystal structure of NpZnGeO, computed with PBE-GGA.

Cell lengths 3.9407, 3.9407, 8.5626 Å; angles 90.00, 90.00, 90.00 degrees
Last column: magnetic moment on the atom in μB.
Positions (direct):
Zn  0.0000  0.0000  0.0000  -0.03
Zn  0.5000  0.5000  0.0000  -0.03
Ge  0.5000  0.0000  0.1930  -0.11
Ge  0.0000  0.5000  0.8070  -0.11
Np  0.5000  0.0000  0.6416  3.49
Np  0.0000  0.5000  0.3584  3.49
O  0.0000  0.0000  0.5000  -0.12
O  0.5000  0.5000  0.5000  -0.12

Magnetic moment in μB per formula unit: 3.3
Formation energy (no corrections) in eV/atom: -1.273
SG: P4/nmm, No. 129

---

An optimized crystal structure of NpZnGeO6, computed with PBE-GGA.

Cell lengths 5.2187, 5.2187, 9.1231 Å; angles 90.00, 90.00, 120.00 degrees
Last column: magnetic moment on the atom in μB.
Positions (direct):
O  0.9781  0.3358  0.1332  -0.04
O  0.0219  0.3577  0.6332  -0.04
O  0.0219  0.6642  0.8668  -0.04
O  0.3358  0.9781  0.6332  -0.04
O  0.6642  0.6423  0.1332  -0.04
O  0.6423  0.9781  0.8668  -0.04
O  0.3358  0.3577  0.8668  -0.04
O  0.6642  0.0219  0.3668  -0.04
O  0.3577  0.3358  0.3668  -0.04
O  0.9781  0.6423  0.3668  -0.04
O  0.6423  0.6642  0.6332  -0.04
O  0.3577  0.0219  0.1332  -0.04
Zn  0.0000  0.0000  0.5000  0.00
Zn  0.0000  0.0000  0.0000  0.00
Np  0.6667  0.3333  0.7500  1.24
Np  0.3333  0.6667  0.2500  1.24
Ge  0.3333  0.6667  0.7500  0.00
Ge  0.6667  0.3333  0.2500  0.00

Magnetic moment in μB per formula unit: 1.0
Formation energy (no corrections) in eV/atom: -1.916
SG: P-31c, No. 163

---

An optimized crystal structure of Np2Ge5Os3, computed with PBE-GGA.

Cell lengths 4.2424, 6.8028, 12.4829 Å; angles 90.00, 99.78, 90.00 degrees
Last column: magnetic moment on the atom in μB.
Positions (direct):
Ge  0.7083  0.4254  0.4165  0.00
Ge  0.1214  0.2640  0.2427  -0.01
Ge  0.3989  0.3952  0.7979  0.00
Ge  0.8786  0.7640  0.7573  -0.01
Ge  0.2917  0.9254  0.5835  0.00
Ge  0.0490  0.5953  0.0981  -0.02
Ge  0.6011  0.8952  0.2021  0.00
Ge  0.9510  0.0953  0.9019  -0.02
Ge  0.7078  0.0029  0.4155  -0.01
Ge  0.2922  0.5029  0.5845  -0.01
Os  0.0511  0.9806  0.1022  -0.34
Os  0.2239  0.2147  0.4478  -0.13
Os  0.7761  0.7147  0.5522  -0.13
Os  0.3958  0.0115  0.7916  -0.26
Os  0.9489  0.4806  0.8978  -0.34
Os  0.6042  0.5115  0.2084  -0.26
Np  0.1729  0.7156  0.3458  3.51
Np  0.8271  0.2156  0.6542  3.51
Np  0.5209  0.2596  0.0418  3.10
Np  0.4791  0.7596  0.9582  3.10

Magnetic moment in μB per formula unit: 6.1
DFT formation energy in eV/f.u.: -1.23
SG: Cmc2_1, No. 36

---

An optimized crystal structure of Np2GeOs, computed with PBE-GGA.

Cell lengths 3.7319, 3.7319, 5.5588 Å; angles 90.00, 90.00, 90.00 degrees
Last column: magnetic moment on the atom in μB.
Positions (direct):
Os  0.5000  0.5000  0.0000  -0.66
Ge  0.5000  0.5000  0.5000  -0.10
Np  0.0000  0.0000  0.7432  3.44
Np  0.0000  0.0000  0.2568  3.44

Magnetic moment in μB per formula unit: 6.3
DFT formation energy in eV/f.u.: -0.26
Energy relative to the lowest polymorph listed for this composition in meV per atom: 0
SG: P4/mmm, No. 123

---

An optimized crystal structure of Np3Ge4Os2, computed with PBE-GGA.

Cell lengths 4.5819, 5.6254, 8.5779 Å; angles 120.76, 90.00, 114.03 degrees
Last column: magnetic moment on the atom in μB.
Positions (direct):
Ge  0.3044  0.6088  0.9650  -0.03
Ge  0.8931  0.7862  0.5839  -0.03
Ge  0.1069  0.2138  0.4161  -0.03
Ge  0.6956  0.3912  0.0350  -0.03
Np  0.3578  0.7155  0.3344  3.50
Np  0.0000  0.0000  0.0000  3.41
Np  0.6422  0.2845  0.6656  3.50
Os  0.3843  0.7687  0.7281  -0.30
Os  0.6157  0.2313  0.2719  -0.30

Magnetic moment in μB per formula unit: 10.1
DFT formation energy in eV/f.u.: -1.42
SG: C2/m, No. 12

---

An optimized crystal structure of Np4Ge16Os3, computed with PBE-GGA.

Cell lengths 6.1718, 6.1717, 11.1632 Å; angles 90.00, 90.00, 90.00 degrees
Last column: magnetic moment on the atom in μB.
Positions (direct):
Ge  0.7481  0.2519  0.3760  -0.03
Ge  0.0000  0.9999  0.7716  -0.03
Ge  0.7483  0.2516  0.6240  -0.03
Ge  0.0000  0.0001  0.2284  -0.03
Ge  0.7483  0.7484  0.3760  -0.03
Ge  0.5000  0.5002  0.2095  -0.05
Ge  0.2517  0.7484  0.3760  -0.03
Ge  0.5000  0.4998  0.7905  -0.05
Ge  0.7481  0.7481  0.6240  -0.03
Ge  0.2519  0.2519  0.3760  -0.03
Ge  0.2849  0.7152  0.0000  -0.03
Ge  0.2849  0.2848  0.0000  -0.03
Ge  0.2517  0.2516  0.6240  -0.03
Ge  0.2519  0.7481  0.6240  -0.03
Ge  0.7151  0.2848  0.0000  -0.03
Ge  0.7151  0.7152  0.0000  -0.03
Os  0.5000  0.0000  0.5000  -0.03
Os  0.0000  0.0000  0.0000  0.06
Os  0.0000  0.5000  0.5000  -0.03
Np  0.5000  0.0002  0.1883  3.64
Np  0.0000  0.4998  0.8117  3.64
Np  0.5000  0.9998  0.8117  3.64
Np  0.0000  0.5002  0.1883  3.64

Magnetic moment in μB per formula unit: 14.5
DFT formation energy in eV/f.u.: -2.44
SG: P4/mmm, No. 123

---

An optimized crystal structure of Np4Ge8Os, computed with PBE-GGA.

Cell lengths 4.0126, 4.2016, 15.7145 Å; angles 90.00, 90.00, 90.00 degrees
Last column: magnetic moment on the atom in μB.
Positions (direct):
Ge  0.0000  0.0000  0.7554  -0.01
Ge  0.0000  0.5000  0.2244  -0.03
Ge  0.5000  0.5000  0.0495  -0.05
Ge  0.5000  0.5000  0.7590  0.00
Ge  0.5000  0.0000  0.2221  -0.02
Ge  0.0000  0.5000  0.9355  -0.05
Ge  0.0000  0.0000  0.4706  -0.03
Ge  0.5000  0.0000  0.5769  0.01
Np  0.0000  0.0000  0.0888  3.48
Np  0.5000  0.5000  0.3918  3.62
Np  0.5000  0.0000  0.9009  3.54
Np  0.0000  0.5000  0.6130  -3.63
Os  0.0000  0.0000  0.3153  -0.32

Magnetic moment in μB per formula unit: 6.8
DFT formation energy in eV/f.u.: -1.44
SG: Pmm2, No. 25